1.
Compound: LiTh2Ga3
Source: the Alexandria database
Functional: GGA-PBE
Structure: optimized geometry

Cell: 8.8781 8.6279 5.9304 Å, 72.49 67.94 39.57°
Fractional positions:
Li 0.1672 0.1672 0.8328
Li 0.8328 0.8328 0.1672
Th 0.2500 0.2500 0.2500
Th 0.2514 0.7486 0.7486
Th 0.7486 0.2514 0.2514
Th 0.7500 0.7500 0.7500
Ga 0.1643 0.6680 0.3320
Ga 0.3324 0.3324 0.6676
Ga 0.3320 0.8357 0.1643
Ga 0.6680 0.1643 0.8357
Ga 0.6676 0.6676 0.3324
Ga 0.8357 0.3320 0.6680

Calculated values
SG	Fmmm (69)

=====

2.
Compound: Li2ThGa
Source: the Alexandria database
Functional: GGA-PBE
Structure: optimized geometry

Cell: 4.7698 4.7698 4.7698 Å, 60.00 60.00 60.00°
Fractional positions:
Li 0.2500 0.2500 0.2500
Li 0.7500 0.7500 0.7500
Th 0.0000 0.0000 0.0000
Ga 0.5000 0.5000 0.5000

Calculated values
SG	Fm-3m (225)

=====

3.
Compound: LiThGa
Source: the Alexandria database
Functional: GGA-PBE
Structure: optimized geometry

Cell: 6.3175 6.3175 6.3175 Å, 149.32 149.32 43.95°
Fractional positions:
Li 0.0000 0.0000 0.0000
Th 0.2939 0.2939 0.0000
Ga 0.6072 0.6072 0.0000

Calculated values
SG	I4mm (107)
relative energy among the computed polymorphs	170	meV/atom

=====

4.
Compound: LiThTlGa
Source: the Alexandria database
Functional: GGA-PBE
Structure: optimized geometry

Cell: 5.1590 5.1590 5.1590 Å, 60.00 60.00 60.00°
Fractional positions:
Li 0.0000 0.0000 0.0000
Th 0.5000 0.5000 0.5000
Tl 0.2500 0.2500 0.2500
Ga 0.7500 0.7500 0.7500

Calculated values
SG	F-43m (216)

=====

5.
Compound: LiTh2Zn4Ga3
Source: the Alexandria database
Functional: GGA-PBE
Structure: optimized geometry

Cell: 4.2457 4.2457 10.6065 Å, 90.00 90.00 90.00°
Fractional positions:
Li 0.0000 0.0000 0.0000
Th 0.0000 0.5000 0.7470
Th 0.5000 0.0000 0.2530
Zn 0.0000 0.0000 0.5000
Zn 0.0000 0.5000 0.1293
Zn 0.5000 0.0000 0.8707
Zn 0.5000 0.5000 0.5000
Ga 0.0000 0.5000 0.3620
Ga 0.5000 0.0000 0.6380
Ga 0.5000 0.5000 0.0000

Calculated values
SG	P-4m2 (115)

=====

6.
Compound: Li2ThZn2Ga2
Source: the Alexandria database
Functional: GGA-PBE
Structure: optimized geometry

Cell: 4.3517 4.3517 8.2264 Å, 105.27 105.27 60.02°
Fractional positions:
Li 0.1424 0.1424 0.4269
Li 0.8576 0.8576 0.5731
Th 0.0000 0.0000 0.0000
Zn 0.4326 0.4326 0.2974
Zn 0.5674 0.5674 0.7026
Ga 0.2564 0.2564 0.7694
Ga 0.7436 0.7436 0.2306

Calculated values
SG	C2/m (12)

=====

7.
Compound: LiThZn2Ga2
Source: the Alexandria database
Functional: GGA-PBE
Structure: optimized geometry

Cell: 4.3512 4.3512 6.9087 Å, 90.00 90.00 120.00°
Fractional positions:
Li 0.0000 0.0000 0.0000
Th 0.0000 0.0000 0.5000
Zn 0.3333 0.6667 0.8054
Zn 0.6667 0.3333 0.1946
Ga 0.3333 0.6667 0.2234
Ga 0.6667 0.3333 0.7766

Calculated values
SG	P-3m1 (164)

=====

8.
Compound: LiThZrGa
Source: the Alexandria database
Functional: GGA-PBE
Structure: optimized geometry

Cell: 4.9918 4.9918 4.9918 Å, 60.00 60.00 60.00°
Fractional positions:
Li 0.0000 0.0000 0.0000
Th 0.2500 0.2500 0.2500
Zr 0.7500 0.7500 0.7500
Ga 0.5000 0.5000 0.5000

Calculated values
SG	F-43m (216)

=====

no.,energy of formation from the pure elements (eV/atom),final energy (eV per formula unit)
1,-0.468,-28.6
2,-0.096,-14.7
3,-0.151,-12.8
4,-0.187,-15.5
5,-0.382,-34.8
6,-0.362,-22.4
7,-0.401,-20.3
8,-0.121,-21.4